Density functional theory data (PBE) for TlPCl2 after structural relaxation.

a = 5.1664 Å, b = 5.1933 Å, c = 5.8750 Å
α = 90.00°, β = 90.00°, γ = 90.00°
Closest atoms and distances in Å follow each position.
Space group Pmm2 (No. 25)
One atom of each set of equivalent atoms:
Tl1 0.0000 0.0000 0.0000  2 Cl 2.86-3.02
P1 0.5000 0.5000 0.7142  1 Cl 2.08
Cl1 0.0000 0.0000 0.4865  2 Tl 2.86-3.02
Cl2 0.5000 0.5000 0.0685  1 P 2.08

Summary:
- Density: 3.23 g/cm3
- Raw formation energy: -35 meV per atom
- Raw total energy: -11.61 eV/f.u.
- Spin magnetization: 2.1 μB per formula unit
- Volume: 39.408 A^3/atom